Below is a relaxed MnB3F crystal, with properties calculated at the PBE+U level.

Calculated values
distance to the lowest polymorph of the same formula = 0.0000 eV/atom
space group = Pm-3m, No. 221
volume = 63.4 Å³/cell

```
5
Lattice="3.988 0.000 0.000 0.000 3.988 0.000 0.000 0.000 3.988" Properties=species:S:1:pos:R:3 pbc="T T T"
Mn 0.000 0.000 0.000
B 0.000 0.000 1.994
B 0.000 1.994 0.000
B 1.994 0.000 0.000
F 1.994 1.994 1.994
```